# 1
Material: Sr2ZnCd4In3
Method: DFT, GGA-PBE
State: optimized geometry

Lattice parameters (Å, degrees): 4.7367 4.7367 12.1768 90.00 90.00 90.00
Positions (direct):
In (0.0000, 0.0000, 0.5000)
Sr (0.5000, 0.0000, 0.2551)
In (0.0000, 0.5000, 0.1403)
In (0.5000, 0.0000, 0.8597)
Cd (0.5000, 0.0000, 0.6289)
Cd (0.0000, 0.5000, 0.3711)
Sr (0.0000, 0.5000, 0.7449)
Zn (0.5000, 0.5000, 0.5000)
Cd (0.0000, 0.0000, 0.0000)
Cd (0.5000, 0.5000, 0.0000)

- space-group type = No. 115


# 2
Material: Eu3Pd5I12
Method: DFT, GGA-PBE
State: optimized geometry

Lattice parameters (Å, degrees): 15.3406 15.3406 15.3406 109.47 109.47 109.47
Each line ends with the local moment (μB).
Positions (direct):
I (0.0931, 0.1750, 0.4714)  -0.02
I (0.2036, 0.6750, 0.0819)  -0.02
I (0.4181, 0.1217, 0.5931)  -0.02
Pd (0.7500, 0.6250, 0.3750)  -0.02
I (0.1217, 0.7036, 0.5286)  -0.02
I (0.3783, 0.9714, 0.7964)  -0.02
Pd (0.5000, 0.0000, 0.5000)  0.02
Pd (0.3750, 0.2500, 0.1250)  -0.02
I (0.1217, 0.4181, 0.0931)  -0.02
I (0.5286, 0.3250, 0.9069)  -0.02
Eu (0.8750, 0.7500, 0.1250)  6.83
Eu (0.8750, 0.1250, 0.2500)  6.83
I (0.8250, 0.9069, 0.0286)  -0.02
I (0.0819, 0.9069, 0.3783)  -0.02
I (0.7964, 0.4714, 0.3783)  -0.02
I (0.6217, 0.5931, 0.9181)  -0.02
I (0.3783, 0.4069, 0.0819)  -0.02
Pd (0.1250, 0.7500, 0.3750)  -0.02
I (0.9069, 0.8250, 0.5286)  -0.02
I (0.4069, 0.3783, 0.5819)  -0.02
I (0.5931, 0.9714, 0.6750)  -0.02
I (0.0931, 0.9181, 0.1217)  -0.02
I (0.6217, 0.0286, 0.2036)  -0.02
Pd (0.0000, 0.0000, 0.0000)  0.02
I (0.5819, 0.8783, 0.4069)  -0.02
Eu (0.7500, 0.8750, 0.6250)  6.83
I (0.2036, 0.5286, 0.6217)  -0.02
I (0.2964, 0.4181, 0.8250)  -0.02
I (0.8783, 0.5819, 0.9069)  -0.02
Eu (0.6250, 0.2500, 0.3750)  6.83
Pd (0.2500, 0.8750, 0.1250)  -0.02
Pd (0.0000, 0.5000, 0.5000)  0.02
Pd (0.5000, 0.5000, 0.0000)  0.02
I (0.7036, 0.1217, 0.0286)  -0.02
I (0.9714, 0.5931, 0.1750)  -0.02
I (0.9069, 0.0819, 0.8783)  -0.02
Eu (0.2500, 0.1250, 0.3750)  6.83
I (0.4714, 0.6750, 0.0931)  -0.02
I (0.1750, 0.0931, 0.9714)  -0.02
I (0.1750, 0.0819, 0.7036)  -0.02
Pd (0.7500, 0.1250, 0.8750)  -0.02
I (0.3250, 0.7964, 0.4181)  -0.02
I (0.5819, 0.7036, 0.6750)  -0.02
I (0.6750, 0.2036, 0.5819)  -0.02
I (0.9181, 0.8250, 0.7964)  -0.02
Pd (0.0000, 0.5000, 0.0000)  0.02
I (0.6750, 0.4714, 0.5931)  -0.02
I (0.2964, 0.8783, 0.9714)  -0.02
Pd (0.8750, 0.6250, 0.7500)  -0.02
I (0.4714, 0.7964, 0.8783)  -0.02
I (0.4069, 0.0286, 0.3250)  -0.02
I (0.4181, 0.2964, 0.3250)  -0.02
Pd (0.6250, 0.7500, 0.8750)  -0.02
I (0.3250, 0.5286, 0.4069)  -0.02
Eu (0.3750, 0.7500, 0.6250)  6.83
Eu (0.1250, 0.2500, 0.8750)  6.83
I (0.7964, 0.3250, 0.9181)  -0.02
Pd (0.5000, 0.5000, 0.5000)  0.02
Pd (0.6250, 0.8750, 0.2500)  -0.02
I (0.9714, 0.3783, 0.2964)  -0.02
I (0.0286, 0.4069, 0.8250)  -0.02
I (0.8783, 0.2964, 0.4714)  -0.02
I (0.0819, 0.1750, 0.2036)  -0.02
I (0.7036, 0.5819, 0.1750)  -0.02
Pd (0.8750, 0.2500, 0.6250)  -0.02
Eu (0.1250, 0.8750, 0.7500)  6.83
Eu (0.3750, 0.6250, 0.2500)  6.83
Pd (0.2500, 0.3750, 0.6250)  -0.02
Eu (0.2500, 0.6250, 0.8750)  6.83
I (0.9181, 0.0931, 0.6217)  -0.02
Eu (0.7500, 0.3750, 0.1250)  6.83
I (0.5286, 0.2036, 0.1217)  -0.02
Pd (0.0000, 0.0000, 0.5000)  0.02
Pd (0.1250, 0.3750, 0.2500)  -0.02
Pd (0.3750, 0.1250, 0.7500)  -0.02
Eu (0.6250, 0.3750, 0.7500)  6.83
I (0.8250, 0.9181, 0.2964)  -0.02
I (0.5931, 0.6217, 0.4181)  -0.02
I (0.0286, 0.6217, 0.7036)  -0.02
Pd (0.5000, 0.0000, 0.0000)  0.02

- formation energy from raw total energies (eV/atom) = -0.679
- space-group type = No. 230


# 3
Material: Tb4Zn2Sn
Method: DFT, GGA-PBE
State: optimized geometry

Lattice parameters (Å, degrees): 4.9345 4.9345 9.7776 75.38 75.38 60.00
Positions (direct):
Tb (0.6173, 0.6173, 0.1480)
Sn (0.0000, 0.0000, 0.0000)
Tb (0.3827, 0.3827, 0.8520)
Tb (0.1996, 0.1996, 0.4012)
Zn (0.9022, 0.9022, 0.2933)
Tb (0.8004, 0.8004, 0.5988)
Zn (0.0978, 0.0978, 0.7067)

- ΔE to the lowest computed polymorph (eV per formula unit) = 0.53
- space-group type = No. 166


# 4
Material: MgSb2TeN
Method: DFT, GGA-PBE
State: optimized geometry

Lattice parameters (Å, degrees): 5.4138 5.4138 5.4600 90.00 90.00 90.00
Each line ends with the local moment (μB).
Positions (direct):
N (0.5000, 0.5000, 0.5000)  1.78
Sb (0.5000, 0.0000, 0.0000)  0.00
Mg (0.0000, 0.0000, 0.0000)  0.00
Sb (0.0000, 0.5000, 0.0000)  0.00
Te (0.0000, 0.0000, 0.5000)  0.05

- formation energy from raw total energies (eV/atom) = 1.412
- ΔE to the lowest computed polymorph (eV per formula unit) = 4.70
- space-group type = No. 123


# 5
Material: ErHf2PaN4
Method: DFT, GGA-PBE
State: optimized geometry

Lattice parameters (Å, degrees): 3.3056 5.8053 5.7596 70.92 90.00 90.00
Positions (direct):
Pa (0.0000, 0.5000, 0.5000)
Er (0.5000, 0.5000, 0.0000)
N (0.0000, 0.2305, 0.2588)
Hf (0.0000, 0.0000, 0.0000)
N (0.5000, 0.2273, 0.7593)
N (0.5000, 0.7727, 0.2407)
Hf (0.5000, 0.0000, 0.5000)
N (0.0000, 0.7695, 0.7412)

- formation energy from raw total energies (eV/atom) = -1.744
- space-group type = No. 10


# 6
Material: BaLiCdHg2
Method: DFT, GGA-PBE
State: optimized geometry

Lattice parameters (Å, degrees): 5.2201 5.2201 5.1919 90.00 90.00 90.00
Positions (direct):
Li (0.0000, 0.0000, 0.0000)
Hg (0.0000, 0.5000, 0.0000)
Cd (0.0000, 0.0000, 0.5000)
Hg (0.5000, 0.0000, 0.0000)
Ba (0.5000, 0.5000, 0.5000)

- ΔE to the lowest computed polymorph (eV per formula unit) = 0.33
- space-group type = No. 123


# 7
Material: SrGdTlPb
Method: DFT, GGA-PBE
State: optimized geometry

Lattice parameters (Å, degrees): 5.6259 5.6259 5.6259 60.00 60.00 60.00
Each line ends with the local moment (μB).
Positions (direct):
Tl (0.0000, 0.0000, 0.0000)  0.00
Pb (0.5000, 0.5000, 0.5000)  -0.03
Gd (0.2500, 0.2500, 0.2500)  6.99
Sr (0.7500, 0.7500, 0.7500)  0.01

- space-group type = No. 216


# 8
Material: YSc2Zn
Method: DFT, GGA-PBE
State: optimized geometry

Lattice parameters (Å, degrees): 4.4980 4.4980 4.5976 90.00 90.00 90.00
Each line ends with the local moment (μB).
Positions (direct):
Sc (0.0000, 0.0000, 0.0000)  0.16
Zn (0.0000, 0.5000, 0.5000)  -0.01
Y (0.5000, 0.0000, 0.5000)  0.10
Sc (0.5000, 0.5000, 0.0000)  0.16

- space-group type = No. 123


# 9
Material: Ba2In5Hg12
Method: DFT, GGA-PBE
State: optimized geometry

Lattice parameters (Å, degrees): 8.3078 8.3078 8.3078 77.23 77.23 77.23
Positions (direct):
Hg (0.7056, 0.2944, 0.0000)
Hg (0.7056, 0.0000, 0.2944)
Hg (0.2944, 0.7056, 0.0000)
Hg (0.6217, 0.1574, 0.6217)
Ba (0.6776, 0.6776, 0.6776)
Hg (0.3783, 0.3783, 0.8426)
Ba (0.3224, 0.3224, 0.3224)
Hg (0.3783, 0.8426, 0.3783)
Hg (0.8426, 0.3783, 0.3783)
In (0.0969, 0.0969, 0.0969)
Hg (0.0000, 0.7056, 0.2944)
Hg (0.6217, 0.6217, 0.1574)
Hg (0.0000, 0.2944, 0.7056)
Hg (0.1574, 0.6217, 0.6217)
In (0.0000, 0.5000, 0.0000)
In (0.9031, 0.9031, 0.9031)
In (0.5000, 0.0000, 0.0000)
Hg (0.2944, 0.0000, 0.7056)
In (0.0000, 0.0000, 0.5000)

- space-group type = No. 166


# 10
Material: HfScN2Cl
Method: DFT, GGA-PBE
State: optimized geometry

Lattice parameters (Å, degrees): 4.0710 6.0783 4.0710 90.00 90.00 90.00
Each line ends with the local moment (μB).
Positions (direct):
N (0.5000, 0.0000, 0.0000)  0.13
Hf (0.0000, 0.0000, 0.0000)  0.02
N (0.0000, 0.0000, 0.5000)  0.26
Cl (0.5000, 0.5000, 0.5000)  0.00
Sc (0.0000, 0.5000, 0.0000)  -0.02

- formation energy from raw total energies (eV/atom) = 0.051
- space-group type = No. 123


# 11
Material: K2PaZnSe4
Method: DFT, GGA-PBE
State: optimized geometry

Lattice parameters (Å, degrees): 4.0867 7.2942 8.1199 108.69 90.00 90.00
Each line ends with the local moment (μB).
Positions (direct):
Se (0.5000, 0.7827, 0.8186)  -0.01
K (0.0000, 0.5000, 0.5000)  0.00
K (0.5000, 0.0000, 0.5000)  0.00
Se (0.5000, 0.2173, 0.1814)  -0.01
Se (0.0000, 0.7263, 0.2167)  -0.02
Se (0.0000, 0.2737, 0.7833)  -0.02
Pa (0.5000, 0.5000, 0.0000)  0.95
Zn (0.0000, 0.0000, 0.0000)  0.01

- formation energy from raw total energies (eV/atom) = -1.110
- space-group type = No. 10


# 12
Material: Li4Sm3Ga4
Method: DFT, GGA-PBE
State: optimized geometry

Lattice parameters (Å, degrees): 4.5989 6.8410 8.4050 114.01 105.88 90.00
Positions (direct):
Sm (0.1274, 0.1274, 0.2548)
Sm (0.8726, 0.8726, 0.7452)
Li (0.6707, 0.8619, 0.3414)
Li (0.6707, 0.4796, 0.3414)
Li (0.3293, 0.5204, 0.6586)
Ga (0.2126, 0.7126, 0.4252)
Li (0.3293, 0.1381, 0.6586)
Ga (0.5000, 0.1879, 0.0000)
Ga (0.7874, 0.2874, 0.5748)
Sm (0.0000, 0.5000, 0.0000)
Ga (0.5000, 0.8121, 0.0000)

- ΔE to the lowest computed polymorph (eV per formula unit) = 0.07
- space-group type = No. 71


| no. | V (Å³ per cell) | final energy (eV/cell) |
| --- | --- | --- |
| 1 | 273.2 | -18.974 |
| 2 | 2779.1 | -355.910 |
| 3 | 197.2 | -26.493 |
| 4 | 160.0 | -14.246 |
| 5 | 104.5 | -81.220 |
| 6 | 141.5 | -6.877 |
| 7 | 125.9 | -23.452 |
| 8 | 93.0 | -20.649 |
| 9 | 536.4 | -24.523 |
| 10 | 100.7 | -34.526 |
| 11 | 229.3 | -35.786 |
| 12 | 230.5 | -37.875 |